Entry 1:
A geometry-optimized Sr2CaGa structure, computed with GGA-PBE.

## Properties
- ΔE_f (meV per atom) = -80
- total moment (μB/cell) = 0.0

Cell: 4.1063 4.1063 34.1605 Å, 90.00 90.00 120.00°
Closest atoms and distances in Å follow each position.
Space group R3m (No. 160, hexagonal axes)
One atom of each set of equivalent atoms:
1 Sr 0.0000 0.0000 0.0000 x3  3 Ga 3.26
2 Sr 0.0000 0.0000 0.2023 x3  3 Ga 3.26
3 Ca 0.0000 0.0000 0.4352 x3  6 Ca 4.11, 6 Sr 4.17-4.21
4 Ga 0.0000 0.0000 0.6011 x3  6 Sr 3.26

=====

Entry 2:
A geometry-optimized Sr3CaGa structure, computed with GGA-PBE.

## Properties
- ΔE_f (meV per atom) = -32
- total moment (μB/cell) = 0.0

Cell: 6.2571 6.2571 6.2571 Å, 90.00 90.00 90.00°
Closest atoms and distances in Å follow each position.
Space group Pm-3m (No. 221)
One atom of each set of equivalent atoms:
1 Sr 0.0000 0.0000 0.5000 x3  2 Ga 3.13
2 Ca 0.5000 0.5000 0.5000 x1  12 Sr 4.42
3 Ga 0.0000 0.0000 0.0000 x1  6 Sr 3.13

=====

Entry 3:
A geometry-optimized Sr2CaGa2 structure, computed with GGA-PBE.

## Properties
- ΔE_f (meV per atom) = -330
- total moment (μB/cell) = 0.0

Cell: 11.9673 5.5814 9.6291 Å, 90.00 105.59 90.00°
Closest atoms and distances in Å follow each position.
Space group C2/c (No. 15)
One atom of each set of equivalent atoms:
1 Sr 0.1524 0.2483 0.1349 x8  4 Ga 3.22-3.35
2 Ca 0.0000 0.2523 0.7500 x4  6 Ga 3.57-3.62, 6 Sr 3.66-3.67
3 Ga 0.1385 0.2516 0.4643 x8  1 Ga 2.57

=====

- What is the ΔE_f in the first record?
  -80 meV per atom

=====

- Which formula does entry 1 have?
  Sr2CaGa